Entry 1:
BaNaCo2N | Alexandria | PBE | optimized geometry; raw formation energy = 1.57 eV per atom; E = -3.59 eV per atom; density of states at the Fermi level = 0.996 states/eV per atom; total moment = 4.7 Bohr magnetons per cell; symmetry = P4/mmm, No. 123; mass density = 4461 kg/m³
1.0
4.8154 0.0000 0.0000
0.0000 4.6905 0.0000
0.0000 0.0000 4.8154
N Co Na Ba
1 2 1 1
Direct
0.0000 0.5000 0.0000
0.5000 0.0000 0.0000
0.0000 0.0000 0.5000
0.0000 0.0000 0.0000
0.5000 0.5000 0.5000

Entry 2:
Ba2NaCoN2 | Alexandria | PBE | optimized geometry; raw formation energy = -0.18 eV per atom; E = -5.00 eV per atom; density of states at the Fermi level = 0.005 states/eV per atom; total moment = 4.0 Bohr magnetons per cell; symmetry = Pnnm, No. 58; mass density = 4826 kg/m³
1.0
-2.5946 2.2122 3.4154
-1.8472 -5.8989 2.4176
6.5758 -0.0093 5.0015
N Co Ba Na
4 2 4 2
Direct
0.5000 0.7478 0.4144
0.0000 0.7522 0.9144
0.5000 0.2522 0.5856
0.0000 0.2478 0.0856
0.5000 0.5000 0.5000
0.0000 0.0000 0.0000
0.5000 0.1010 0.2473
0.0000 0.6010 0.2527
0.5000 0.8990 0.7527
0.0000 0.3990 0.7473
0.5000 0.5000 0.0000
0.0000 0.0000 0.5000

Entry 3:
BaNbCoN3 | Alexandria | PBE | optimized geometry; raw formation energy = -0.55 eV per atom; E = -7.90 eV per atom; density of states at the Fermi level = 0.390 states/eV per atom; total moment = 0.0 Bohr magnetons per cell; symmetry = P2_1/m, No. 11; mass density = 6234 kg/m³
1.0
3.2911 0.0000 0.0000
0.0000 7.2986 0.0259
0.0000 -2.7873 7.3357
Ba N Co Nb
2 6 2 2
Direct
0.2500 0.2167 0.2365
0.7500 0.7833 0.7635
0.2500 0.5356 0.8606
0.7500 0.8599 0.1367
0.2500 0.8171 0.4547
0.7500 0.4644 0.1394
0.2500 0.1401 0.8633
0.7500 0.1829 0.5453
0.7500 0.9153 0.3960
0.2500 0.0847 0.6040
0.2500 0.6745 0.1370
0.7500 0.3255 0.8630

Entry 4:
BaNdCoN2 | Alexandria | PBE | optimized geometry; raw formation energy = -0.55 eV per atom; E = -6.64 eV per atom; density of states at the Fermi level = 0.128 states/eV per atom; total moment = 4.0 Bohr magnetons per cell; symmetry = P2/c, No. 13; mass density = 5808 kg/m³
1.0
4.9059 0.0000 0.0000
0.0000 6.0767 0.3739
0.0000 -1.4309 6.9806
Co Nd N Ba
2 2 4 2
Direct
0.0000 0.0000 0.0000
0.0000 0.0000 0.5000
0.5168 0.0000 0.7500
0.4832 0.0000 0.2500
0.2625 0.2101 0.0186
0.7375 0.2101 0.5186
0.2625 0.7899 0.4814
0.7375 0.7899 0.9814
0.9047 0.5000 0.2500
0.0953 0.5000 0.7500

Entry 5:
BaNpCoN3 | Alexandria | PBE | optimized geometry; raw formation energy = -0.68 eV per atom; E = -8.51 eV per atom; density of states at the Fermi level = 1.339 states/eV per atom; total moment = 4.2 Bohr magnetons per cell; symmetry = P2_1/m, No. 11; mass density = 7940 kg/m³
1.0
3.5156 0.0000 0.0000
0.0000 7.5775 0.4323
0.0000 -2.4810 7.3206
N Ba Np Co
6 2 2 2
Direct
0.7500 0.1654 0.5502
0.7500 0.8448 0.1431
0.2500 0.8346 0.4498
0.2500 0.1552 0.8569
0.2500 0.5331 0.8644
0.7500 0.4669 0.1356
0.2500 0.1970 0.2319
0.7500 0.8030 0.7681
0.2500 0.6669 0.1605
0.7500 0.3331 0.8395
0.7500 0.9281 0.4010
0.2500 0.0719 0.5990

Q: The highest mass density belongs to which entry?
A: BaNpCoN3

What did the second record say?
Ba2NaCoN2 | Alexandria | PBE | optimized geometry; raw formation energy = -0.18 eV per atom; E = -5.00 eV per atom; density of states at the Fermi level = 0.005 states/eV per atom; total moment = 4.0 Bohr magnetons per cell; symmetry = Pnnm, No. 58; mass density = 4826 kg/m³
1.0
-2.5946 2.2122 3.4154
-1.8472 -5.8989 2.4176
6.5758 -0.0093 5.0015
N Co Ba Na
4 2 4 2
Direct
0.5000 0.7478 0.4144
0.0000 0.7522 0.9144
0.5000 0.2522 0.5856
0.0000 0.2478 0.0856
0.5000 0.5000 0.5000
0.0000 0.0000 0.0000
0.5000 0.1010 0.2473
0.0000 0.6010 0.2527
0.5000 0.8990 0.7527
0.0000 0.3990 0.7473
0.5000 0.5000 0.0000
0.0000 0.0000 0.5000

Q: The lowest raw formation energy belongs to which entry?
A: BaNpCoN3